Computed, not measured: MgZnAs2 after structural relaxation at the PBE level of DFT.

Cell and atoms, written as CIF:
```
data_MgZnAs2
_chemical_formula_sum 'Mg1 Zn1 As2'
_symmetry_space_group_name_H-M 'P m m 2'
_symmetry_Int_Tables_number 25
_symmetry_space_group_name_Hall 'P 2 -2'
_cell_length_a 4.5534
_cell_length_b 5.4704
_cell_length_c 3.0885
_cell_angle_alpha 90.00
_cell_angle_beta 90.00
_cell_angle_gamma 90.00
loop_
_atom_site_label
_atom_site_fract_x
_atom_site_fract_y
_atom_site_fract_z
Mg1 0.0000 0.0000 0.0000
Zn1 0.5000 0.5000 0.5018
As1 0.0000 0.5000 0.0013
As2 0.5000 0.0000 0.5003
```

The calculation puts the magnetic moment at 0.00 μB/f.u. The value obtained for the volume is 19.2 A^3/atom. The total energy is -12.6 eV per cell. The calculated density is 5.2 g/cm³. As for the energy above the most stable polymorph in this dataset: 0.000 eV/atom.


Computed, not measured: Ag3TePt after structural relaxation at the PBE level of DFT.

Cell and atoms, written as CIF:
```
data_Ag3TePt
_chemical_formula_sum 'Ag3 Te1 Pt1'
_symmetry_space_group_name_H-M 'P m -3 m'
_symmetry_Int_Tables_number 221
_symmetry_space_group_name_Hall '-P 4 2 3'
_cell_length_a 5.0918
_cell_length_b 5.0918
_cell_length_c 5.0918
_cell_angle_alpha 90.00
_cell_angle_beta 90.00
_cell_angle_gamma 90.00
loop_
_atom_site_label
_atom_site_fract_x
_atom_site_fract_y
_atom_site_fract_z
Ag1 0.0000 0.0000 0.5000
Te1 0.5000 0.5000 0.5000
Pt1 0.0000 0.0000 0.0000
```

The calculation puts the magnetic moment at 0.00 μB/f.u. The value obtained for the volume is 26.4 A^3/atom. The total energy is -14.4 eV per cell. The calculated density is 8.1 g/cm³. The energy relative to the elements, uncorrected comes out at 660 meV per atom. As for the energy above the most stable polymorph in this dataset: 0.000 eV/atom.


Computed, not measured: NaPr2SiO5 after structural relaxation at the PBE level of DFT.

Cell and atoms, written as CIF:
```
data_NaPr2SiO5
_chemical_formula_sum 'Na2 Pr4 Si2 O10'
_symmetry_space_group_name_H-M 'P 4/m b m'
_symmetry_Int_Tables_number 127
_symmetry_space_group_name_Hall '-P 4 2ab'
_cell_length_a 6.9146
_cell_length_b 6.9146
_cell_length_c 5.4352
_cell_angle_alpha 90.00
_cell_angle_beta 90.00
_cell_angle_gamma 90.00
loop_
_atom_site_label
_atom_site_fract_x
_atom_site_fract_y
_atom_site_fract_z
Na1 0.0000 0.0000 0.0000
Pr1 0.1797 0.3203 0.5000
Si1 0.0000 0.5000 0.0000
O1 0.0000 0.0000 0.5000
O2 0.1235 0.6235 0.2280
```

The calculation puts the magnetic moment at 0.76 μB/f.u. The value obtained for the volume is 14.4 A^3/atom. The total energy is -127.5 eV per cell. The calculated density is 5.3 g/cm³. The energy relative to the elements, uncorrected comes out at -2519 meV per atom.


Computed, not measured: CeBRh5 after structural relaxation at the PBE level of DFT.

Cell and atoms, written as CIF:
```
data_CeBRh5
_chemical_formula_sum 'Ce1 B1 Rh5'
_symmetry_space_group_name_H-M 'P 4/m m m'
_symmetry_Int_Tables_number 123
_symmetry_space_group_name_Hall '-P 4 2'
_cell_length_a 3.9411
_cell_length_b 3.9411
_cell_length_c 6.6936
_cell_angle_alpha 90.00
_cell_angle_beta 90.00
_cell_angle_gamma 90.00
loop_
_atom_site_label
_atom_site_fract_x
_atom_site_fract_y
_atom_site_fract_z
Ce1 0.0000 0.0000 0.0000
B1 0.5000 0.5000 0.5000
Rh1 0.0000 0.5000 0.3095
Rh2 0.5000 0.5000 0.0000
```

The calculation puts the magnetic moment at 0.00 μB/f.u. The value obtained for the volume is 14.9 A^3/atom. The total energy is -51.6 eV per cell. The calculated density is 10.6 g/cm³.